1.
CsKNiSe2 (GGA-PBE, relaxed); ρ = 4193 kg/m³; uncorrected formation energy = -3.6 eV per formula unit; space group = Pmma (51)
1.0
6.706 0.000 0.000
0.000 5.757 0.000
0.000 0.000 7.973
Se K Cs Ni
4 2 2 2
Direct
0.158 0.750 0.800 Se
0.158 0.750 0.200 Se
0.842 0.250 0.800 Se
0.842 0.250 0.200 Se
0.396 0.250 0.000 K
0.604 0.750 0.000 K
0.765 0.750 0.500 Cs
0.235 0.250 0.500 Cs
0.000 0.500 0.000 Ni
0.000 0.000 0.000 Ni

=====

2.
CdSi2Ni (GGA-PBE, relaxed); ρ = 6079 kg/m³; uncorrected formation energy = 1.5 eV per formula unit; space group = Cmmm (65)
1.0
4.743 -0.030 0.000
-1.771 4.400 0.000
0.000 0.000 2.982
Si Ni Cd
2 1 1
Direct
0.000 0.000 0.000 Si
0.500 0.500 0.000 Si
0.000 0.500 0.500 Ni
0.500 0.000 0.500 Cd

=====

3.
GeAs2PtSe (GGA-PBE, relaxed); ρ = 6736 kg/m³; uncorrected formation energy = 2.8 eV per formula unit; space group = P4/mmm (123)
1.0
-3.525 0.859 3.166
2.669 -1.951 3.501
2.091 4.734 1.043
As Ge Pt Se
2 1 1 1
Direct
0.500 0.000 0.000 As
0.000 0.500 0.000 As
0.500 0.500 0.500 Ge
0.000 0.000 0.000 Pt
0.000 0.000 0.500 Se

=====

4.
Nd2Tm6Mg (GGA-PBE, relaxed); ρ = 6551 kg/m³; formation enthalpy at 0 K = 1.88 eV/f.u.; space group = P-6m2 (187)
1.0
-0.444 -3.185 1.468
1.278 0.270 -3.285
28.892 1.201 11.340
Nd Tm Mg
2 6 1
Direct
0.667 0.333 0.729 Nd
0.667 0.333 0.271 Nd
0.333 0.667 0.637 Tm
0.333 0.667 0.825 Tm
0.333 0.667 0.363 Tm
0.667 0.333 0.913 Tm
0.333 0.667 0.175 Tm
0.667 0.333 0.087 Tm
0.333 0.667 0.000 Mg

=====

5.
Mg5ScPd6 (GGA-PBE, relaxed); ρ = 6754 kg/m³; formation enthalpy at 0 K = -9.24 eV/f.u.; space group = P2/m (10)
1.0
4.399 0.002 -1.035
-0.003 6.485 -0.001
-0.985 0.000 7.169
Pd Mg Sc
6 5 1
Direct
0.500 0.249 0.000 Pd
0.832 0.252 0.667 Pd
0.168 0.252 0.333 Pd
0.168 0.748 0.333 Pd
0.832 0.748 0.667 Pd
0.500 0.751 0.000 Pd
0.334 0.500 0.669 Mg
0.329 0.000 0.662 Mg
0.000 0.500 0.000 Mg
0.671 0.000 0.338 Mg
0.666 0.500 0.331 Mg
0.000 0.000 0.000 Sc

=====

6.
Cs2InS2 (GGA-PBE, relaxed); ρ = 4199 kg/m³; uncorrected formation energy = -2.8 eV per formula unit; space group = P4/mbm (127)
1.0
-3.122 5.597 4.947
-6.830 0.033 -4.347
-2.005 -3.877 3.121
S Cs In
4 4 2
Direct
0.816 0.684 0.000 S
0.184 0.316 0.000 S
0.316 0.816 0.000 S
0.684 0.184 0.000 S
0.149 0.649 0.500 Cs
0.649 0.851 0.500 Cs
0.851 0.351 0.500 Cs
0.351 0.149 0.500 Cs
0.500 0.500 0.000 In
0.000 0.000 0.000 In

=====

7.
Pu12SnGe6 (GGA-PBE, relaxed); ρ = 12146 kg/m³; formation enthalpy at 0 K = -4.12 eV/f.u.; space group = Im-3 (204)
1.0
8.520 0.000 0.000
-2.840 8.033 0.000
-2.840 -4.016 6.957
Pu Ge Sn
12 6 1
Direct
0.806 0.274 0.080 Pu
0.532 0.806 0.726 Pu
0.274 0.080 0.806 Pu
0.806 0.726 0.532 Pu
0.726 0.532 0.806 Pu
0.194 0.726 0.920 Pu
0.726 0.920 0.194 Pu
0.274 0.468 0.194 Pu
0.468 0.194 0.274 Pu
0.194 0.274 0.468 Pu
0.080 0.806 0.274 Pu
0.920 0.194 0.726 Pu
0.376 0.500 0.876 Ge
0.500 0.876 0.376 Ge
0.124 0.624 0.500 Ge
0.876 0.376 0.500 Ge
0.624 0.500 0.124 Ge
0.500 0.124 0.624 Ge
0.000 0.000 0.000 Sn

=====

8.
CrCu2GePd (GGA-PBE, relaxed); ρ = 6427 kg/m³; formation enthalpy at 0 K = 2.86 eV/f.u.; space group = P4/mmm (123)
1.0
4.450 0.000 0.000
0.000 4.672 0.000
0.000 0.000 4.450
Cu Cr Ge Pd
2 1 1 1
Direct
0.000 0.000 0.500 Cu
0.500 0.000 0.000 Cu
0.500 0.500 0.500 Cr
0.000 0.000 0.000 Ge
0.000 0.500 0.000 Pd

=====

9.
Ba2AuCl (GGA-PBE, relaxed); ρ = 5606 kg/m³; uncorrected formation energy = -4.9 eV per formula unit; space group = R3m (160)
1.0
-0.135 -5.501 -6.992
4.136 -4.054 -6.754
2.739 -7.416 -4.082
Cl Ba Au
1 2 1
Direct
0.581 0.581 0.581 Cl
0.004 0.004 0.004 Ba
0.164 0.164 0.164 Ba
0.751 0.751 0.751 Au

=====

10.
AlTlInGa (GGA-PBE, relaxed); ρ = 7206 kg/m³; formation enthalpy at 0 K = 0.67 eV/f.u.; space group = F-43m (216)
1.0
-4.955 -0.202 1.337
-1.532 -3.210 3.706
-1.512 1.857 4.544
Al Tl Ga In
1 1 1 1
Direct
0.500 0.500 0.500 Al
0.750 0.750 0.750 Tl
0.000 0.000 0.000 Ga
0.250 0.250 0.250 In

=====

11.
LiBeMo2 (GGA-PBE, relaxed); ρ = 6419 kg/m³; formation enthalpy at 0 K = 1.28 eV/f.u.; space group = C2/m (12)
1.0
-1.138 3.096 3.517
2.708 -3.763 1.325
2.007 1.400 -0.859
Mo Be Li
2 1 1
Direct
0.500 0.500 0.000 Mo
0.000 0.000 0.000 Mo
0.500 0.000 0.500 Be
0.000 0.500 0.500 Li

=====

12.
Ca2Br (GGA-PBE, relaxed); ρ = 2523 kg/m³; uncorrected formation energy = -2.4 eV per formula unit; space group = P-1 (2)
1.0
-4.598 -3.529 -2.831
2.516 -4.775 3.541
-2.476 5.345 3.158
Ca Br
4 2
Direct
0.824 0.113 0.168 Ca
0.555 0.344 0.666 Ca
0.176 0.887 0.832 Ca
0.445 0.656 0.334 Ca
0.108 0.355 0.752 Br
0.892 0.645 0.248 Br

=====

13.
MnPtAu2 (GGA-PBE, relaxed); ρ = 16090 kg/m³; formation enthalpy at 0 K = 0.19 eV/f.u.; space group = R-3m (166)
1.0
9.184 -0.071 -0.042
8.744 2.811 -0.042
8.744 1.336 2.473
Au Mn Pt
2 1 1
Direct
0.504 0.504 0.504 Au
0.996 0.996 0.996 Au
0.250 0.250 0.250 Mn
0.750 0.750 0.750 Pt